Computed, not measured: a relaxed NiAs2PtO8 crystal at the PBE+U level of DFT.

a = 5.4715 Å, b = 5.4715 Å, c = 6.0150 Å
α = 90.00°, β = 90.00°, γ = 120.00°
Sites, in units of the cell vectors:
Ni: 0.0000 0.0000 0.0000
As: 0.3333 0.6667 0.1901
As: 0.6667 0.3333 0.8099
Pt: 0.0000 0.0000 0.5000
O: 0.1537 0.3075 0.2635
O: 0.1537 0.8463 0.2635
O: 0.3075 0.1537 0.7365
O: 0.3333 0.6667 0.9159
O: 0.6667 0.3333 0.0841
O: 0.6925 0.8463 0.2635
O: 0.8463 0.1537 0.7365
O: 0.8463 0.6925 0.7365

The space-group type is P-3m1. As for the energy: -5.54 eV/atom. The calculation puts the total magnetization at 2.0 μB per cell.